Here is TaCuHgS2 at its PBEsol-relaxed geometry from Alexandria. Energies are from SCAN.

a = 4.8672 Å, b = 4.8672 Å, c = 4.6043 Å
α = 90.00°, β = 90.00°, γ = 90.00°
Element x y z (fractional)
Ta 0.0000 0.0000 0.0000
Cu 0.5000 0.5000 0.0000
Hg 0.5000 0.5000 0.5000
S 0.0000 0.5000 0.5000
S 0.5000 0.0000 0.5000

Results
- SG = P4/mmm, No. 123
- formation energy from raw total energies (eV/atom) = 1.5033
- DOS at the Fermi energy (states/eV/atom) = 0.6611

Here is Cs2TlHgF6 at its PBEsol-relaxed geometry from Alexandria. Energies are from SCAN.

a = 6.5429 Å, b = 6.5429 Å, c = 6.5429 Å
α = 60.00°, β = 60.00°, γ = 60.00°
Element x y z (fractional)
Cs 0.2500 0.2500 0.2500
Cs 0.7500 0.7500 0.7500
Tl 0.0000 0.0000 0.0000
Hg 0.5000 0.5000 0.5000
F 0.2513 0.2513 0.7487
F 0.2513 0.7487 0.2513
F 0.2513 0.7487 0.7487
F 0.7487 0.2513 0.2513
F 0.7487 0.2513 0.7487
F 0.7487 0.7487 0.2513

Results
- SG = Fm-3m, No. 225
- formation energy from raw total energies (eV/atom) = -2.1968
- DOS at the Fermi energy (states/eV/atom) = 0.1421